# 1
Density functional theory data (PBE) for Pm4Bi2SbSe after structural relaxation.

a b c (Å): 7.728 4.473 7.745
angles (deg): 90.00 109.46 90.00
Fractional positions:
Pm 0.243 0.000 0.239
Pm 0.249 0.500 0.759
Pm 0.751 0.500 0.241
Pm 0.757 0.000 0.761
Bi 0.000 0.000 0.500
Bi 0.500 0.500 0.500
Sb 0.500 0.000 0.000
Se 0.000 0.500 0.000

V, Å³ per cell: 252.4
Formation energy from raw total energies, eV/atom: -1.222
Magnetic moment, μB/f.u.: 0.00
VASP energy, eV/atom: -5.518


# 2
Density functional theory data (PBE) for Pm6Bi3SbSe2 after structural relaxation.

a b c (Å): 9.935 9.935 8.888
angles (deg): 103.02 103.02 25.88
Fractional positions:
Pm 0.006 0.006 0.249
Pm 0.330 0.330 0.426
Pm 0.333 0.333 0.907
Pm 0.667 0.667 0.093
Pm 0.670 0.670 0.574
Pm 0.994 0.994 0.751
Bi 0.165 0.165 0.831
Bi 0.500 0.500 0.500
Bi 0.835 0.835 0.169
Sb 0.500 0.500 0.000
Se 0.168 0.168 0.335
Se 0.832 0.832 0.665

V, Å³ per cell: 372.5
Formation energy from raw total energies, eV/atom: -1.265
Magnetic moment, μB/f.u.: 0.00
VASP energy, eV/atom: -5.535


# 3
Density functional theory data (PBE) for Pm6Bi2SbSe3 after structural relaxation.

a b c (Å): 9.798 9.798 8.750
angles (deg): 102.95 102.95 25.83
Fractional positions:
Pm 0.004 0.004 0.246
Pm 0.331 0.331 0.428
Pm 0.338 0.338 0.905
Pm 0.662 0.662 0.095
Pm 0.669 0.669 0.572
Pm 0.996 0.996 0.754
Bi 0.167 0.167 0.835
Bi 0.833 0.833 0.165
Sb 0.500 0.500 0.500
Se 0.167 0.167 0.334
Se 0.500 0.500 0.000
Se 0.833 0.833 0.666

V, Å³ per cell: 356.3
Formation energy from raw total energies, eV/atom: -1.416
Magnetic moment, μB/f.u.: 0.00
VASP energy, eV/atom: -5.653


# 4
Density functional theory data (PBE) for Pm4BiSb2Se after structural relaxation.

a b c (Å): 7.699 4.455 7.706
angles (deg): 90.00 109.46 90.00
Fractional positions:
Pm 0.248 0.000 0.244
Pm 0.251 0.500 0.757
Pm 0.749 0.500 0.243
Pm 0.752 0.000 0.756
Bi 0.000 0.000 0.500
Sb 0.500 0.000 0.000
Sb 0.500 0.500 0.500
Se 0.000 0.500 0.000

V, Å³ per cell: 249.2
Formation energy from raw total energies, eV/atom: -1.288
Magnetic moment, μB/f.u.: 0.00
VASP energy, eV/atom: -5.615


# 5
Density functional theory data (PBE) for TbPmBiSb after structural relaxation.

a b c (Å): 4.494 4.494 6.346
angles (deg): 90.00 90.00 90.00
Fractional positions:
Tb 0.000 0.000 0.000
Pm 0.500 0.500 0.500
Bi 0.000 0.000 0.500
Sb 0.500 0.500 0.000

V, Å³ per cell: 128.1
Formation energy from raw total energies, eV/atom: -1.030
Magnetic moment, μB/f.u.: 0.00
VASP energy, eV/atom: -5.376


# 6
Density functional theory data (PBE) for Pm6Bi2SbTe3 after structural relaxation.

a b c (Å): 10.096 10.096 9.013
angles (deg): 102.83 102.83 25.84
Fractional positions:
Pm 0.000 0.000 0.242
Pm 0.000 0.000 0.758
Pm 0.334 0.334 0.418
Pm 0.337 0.337 0.918
Pm 0.663 0.663 0.082
Pm 0.666 0.666 0.582
Bi 0.167 0.167 0.333
Bi 0.833 0.833 0.667
Sb 0.500 0.500 0.000
Te 0.168 0.168 0.834
Te 0.500 0.500 0.500
Te 0.832 0.832 0.166

V, Å³ per cell: 389.9
Formation energy from raw total energies, eV/atom: -1.243
Magnetic moment, μB/f.u.: 0.00
VASP energy, eV/atom: -5.394


# 7
Density functional theory data (PBE) for Pm6BiSb2Te3 after structural relaxation.

a b c (Å): 10.070 10.070 8.994
angles (deg): 102.99 102.99 25.81
Fractional positions:
Pm 0.003 0.003 0.251
Pm 0.331 0.331 0.422
Pm 0.332 0.332 0.908
Pm 0.668 0.668 0.092
Pm 0.669 0.669 0.578
Pm 0.997 0.997 0.749
Bi 0.500 0.500 0.000
Sb 0.167 0.167 0.334
Sb 0.833 0.833 0.666
Te 0.165 0.165 0.833
Te 0.500 0.500 0.500
Te 0.835 0.835 0.167

V, Å³ per cell: 386.4
Formation energy from raw total energies, eV/atom: -1.292
Magnetic moment, μB/f.u.: 0.00
VASP energy, eV/atom: -5.463


# 8
Density functional theory data (PBE) for Pm6BiSb3Te2 after structural relaxation.

a b c (Å): 10.075 10.075 9.005
angles (deg): 103.09 103.09 25.83
Fractional positions:
Pm 0.002 0.002 0.247
Pm 0.332 0.332 0.422
Pm 0.336 0.336 0.911
Pm 0.664 0.664 0.089
Pm 0.668 0.668 0.578
Pm 0.998 0.998 0.753
Bi 0.500 0.500 0.500
Sb 0.167 0.167 0.333
Sb 0.500 0.500 0.000
Sb 0.833 0.833 0.667
Te 0.167 0.167 0.835
Te 0.833 0.833 0.165

V, Å³ per cell: 387.4
Formation energy from raw total energies, eV/atom: -1.257
Magnetic moment, μB/f.u.: 0.00
VASP energy, eV/atom: -5.510


# 9
Density functional theory data (PBE) for Pm4BiSb2Te after structural relaxation.

a b c (Å): 7.800 4.512 7.813
angles (deg): 90.00 109.43 90.00
Fractional positions:
Pm 0.246 0.000 0.242
Pm 0.252 0.500 0.757
Pm 0.748 0.500 0.243
Pm 0.754 0.000 0.758
Bi 0.000 0.000 0.500
Sb 0.000 0.500 0.000
Sb 0.500 0.000 0.000
Te 0.500 0.500 0.500

V, Å³ per cell: 259.3
Formation energy from raw total energies, eV/atom: -1.218
Magnetic moment, μB/f.u.: 0.00
VASP energy, eV/atom: -5.502


# 10
Density functional theory data (PBE) for Pm6Bi3Sb2Te after structural relaxation.

a b c (Å): 10.122 10.122 9.068
angles (deg): 102.84 102.84 25.87
Fractional positions:
Pm 0.002 0.002 0.253
Pm 0.332 0.332 0.420
Pm 0.332 0.332 0.912
Pm 0.668 0.668 0.088
Pm 0.668 0.668 0.580
Pm 0.998 0.998 0.747
Bi 0.166 0.166 0.833
Bi 0.500 0.500 0.500
Bi 0.834 0.834 0.167
Sb 0.167 0.167 0.332
Sb 0.833 0.833 0.668
Te 0.500 0.500 0.000

V, Å³ per cell: 394.8
Formation energy from raw total energies, eV/atom: -1.123
Magnetic moment, μB/f.u.: 0.00
VASP energy, eV/atom: -5.418


# 11
Density functional theory data (PBE) for Pm4Bi2SbTe after structural relaxation.

a b c (Å): 7.839 4.536 7.842
angles (deg): 90.00 109.46 90.00
Fractional positions:
Pm 0.246 0.000 0.245
Pm 0.249 0.500 0.754
Pm 0.751 0.500 0.246
Pm 0.754 0.000 0.755
Bi 0.500 0.000 0.000
Bi 0.500 0.500 0.500
Sb 0.000 0.500 0.000
Te 0.000 0.000 0.500

V, Å³ per cell: 262.9
Formation energy from raw total energies, eV/atom: -1.148
Magnetic moment, μB/f.u.: 0.00
VASP energy, eV/atom: -5.401


# 12
Density functional theory data (PBE) for Pm4BiSbTe2 after structural relaxation.

a b c (Å): 7.788 4.510 7.821
angles (deg): 90.00 109.57 90.00
Fractional positions:
Pm 0.243 0.000 0.243
Pm 0.246 0.500 0.753
Pm 0.754 0.500 0.247
Pm 0.757 0.000 0.757
Bi 0.000 0.000 0.500
Sb 0.000 0.500 0.000
Te 0.500 0.000 0.000
Te 0.500 0.500 0.500

V, Å³ per cell: 258.8
Formation energy from raw total energies, eV/atom: -1.265
Magnetic moment, μB/f.u.: 0.00
VASP energy, eV/atom: -5.427